Density functional theory data (PBE+U) for AlFeSi2O after structural relaxation.

a = 5.1239 Å, b = 5.1239 Å, c = 3.3342 Å
α = 90.00°, β = 90.00°, γ = 90.00°
Fractional coordinates of all 5 atoms:
Al 0.0000 0.0000 0.0000
Fe 0.5000 0.5000 0.5000
Si 0.0000 0.5000 0.0000
Si 0.5000 0.0000 0.0000
O 0.0000 0.0000 0.5000

## Properties
V, Å³/atom: 17.5
Raw total energy, eV per atom: -4.79
N(E_F), states/eV/cell: 2.7
SG: P4/mmm